[1]
## Y2ScCd (PBE)

Data for an optimized crystal structure of Y2ScCd.

Cell and atoms, written as CIF:
```
data_Y2ScCd
_cell_length_a 6.468
_cell_length_b 6.468
_cell_length_c 5.267
_cell_angle_alpha 65.97
_cell_angle_beta 65.97
_cell_angle_gamma 33.46
_symmetry_space_group_name_H-M 'P 1'
_symmetry_Int_Tables_number 1
loop_
_symmetry_equiv_pos_as_xyz
'x,y,z'
loop_
_atom_site_label
_atom_site_type_symbol
_atom_site_fract_x
_atom_site_fract_y
_atom_site_fract_z
Sc1 Sc 0.221 0.221 0.279
Y1 Y 0.996 0.996 0.004
Y2 Y 0.773 0.773 0.726
Cd1 Cd 0.510 0.510 0.491
```

Computed properties:
DFT formation energy	-0.154	eV/atom
density	5062	kg/m3
Fermi-level density of states	1.205	states/eV/atom
energy	-5.1974	eV/atom

***

[2]
## Y2ScCd (PBE)

Data for an optimized crystal structure of Y2ScCd.

Cell and atoms, written as CIF:
```
data_Y2ScCd
_cell_length_a 5.752
_cell_length_b 5.752
_cell_length_c 5.752
_cell_angle_alpha 130.35
_cell_angle_beta 130.35
_cell_angle_gamma 72.85
_symmetry_space_group_name_H-M 'P 1'
_symmetry_Int_Tables_number 1
loop_
_symmetry_equiv_pos_as_xyz
'x,y,z'
loop_
_atom_site_label
_atom_site_type_symbol
_atom_site_fract_x
_atom_site_fract_y
_atom_site_fract_z
Sc1 Sc 0.750 0.250 0.500
Cd1 Cd 0.250 0.750 0.500
Y1 Y 0.500 0.500 0.000
Y2 Y 0.000 0.000 0.000
```

Computed properties:
DFT formation energy	-0.077	eV/atom
density	5155	kg/m3
Fermi-level density of states	1.332	states/eV/atom
energy	-5.1210	eV/atom

***

[3]
## Y2ScCd (PBE)

Data for an optimized crystal structure of Y2ScCd.

Cell and atoms, written as CIF:
```
data_Y2ScCd
_cell_length_a 3.490
_cell_length_b 4.708
_cell_length_c 6.652
_cell_angle_alpha 90.00
_cell_angle_beta 90.00
_cell_angle_gamma 90.00
_symmetry_space_group_name_H-M 'P 1'
_symmetry_Int_Tables_number 1
loop_
_symmetry_equiv_pos_as_xyz
'x,y,z'
loop_
_atom_site_label
_atom_site_type_symbol
_atom_site_fract_x
_atom_site_fract_y
_atom_site_fract_z
Y1 Y 0.000 0.000 0.982
Y2 Y 0.500 0.500 0.264
Sc1 Sc 0.500 0.500 0.750
Cd1 Cd 0.000 0.000 0.503
```

Computed properties:
DFT formation energy	-0.058	eV/atom
density	5093	kg/m3
Fermi-level density of states	1.431	states/eV/atom
energy	-5.1020	eV/atom

***

[4]
## YScCd (PBE)

Data for an optimized crystal structure of YScCd.

Cell and atoms, written as CIF:
```
data_YScCd
_cell_length_a 5.100
_cell_length_b 5.100
_cell_length_c 3.489
_cell_angle_alpha 90.00
_cell_angle_beta 90.00
_cell_angle_gamma 120.00
_symmetry_space_group_name_H-M 'P 1'
_symmetry_Int_Tables_number 1
loop_
_symmetry_equiv_pos_as_xyz
'x,y,z'
loop_
_atom_site_label
_atom_site_type_symbol
_atom_site_fract_x
_atom_site_fract_y
_atom_site_fract_z
Cd1 Cd 0.000 0.000 0.096
Y1 Y 0.333 0.667 0.683
Sc1 Sc 0.667 0.333 0.221
```

Computed properties:
DFT formation energy	-0.089	eV/atom
density	5203	kg/m3
Fermi-level density of states	1.339	states/eV/atom
energy	-4.6597	eV/atom
distance to the lowest polymorph of the same formula	36.7	kJ/mol of formula units

***

[5]
## YScCd (PBE)

Data for an optimized crystal structure of YScCd.

Cell and atoms, written as CIF:
```
data_YScCd
_cell_length_a 5.154
_cell_length_b 5.154
_cell_length_c 6.702
_cell_angle_alpha 90.00
_cell_angle_beta 90.00
_cell_angle_gamma 60.02
_symmetry_space_group_name_H-M 'P 1'
_symmetry_Int_Tables_number 1
loop_
_symmetry_equiv_pos_as_xyz
'x,y,z'
loop_
_atom_site_label
_atom_site_type_symbol
_atom_site_fract_x
_atom_site_fract_y
_atom_site_fract_z
Cd1 Cd 0.046 0.566 0.833
Cd2 Cd 0.380 0.900 0.329
Y1 Y 0.380 0.900 0.809
Y2 Y 0.713 0.233 0.088
Sc1 Sc 0.047 0.567 0.354
Sc2 Sc 0.713 0.233 0.578
```

Computed properties:
DFT formation energy	-0.186	eV/atom
density	5303	kg/m3
Fermi-level density of states	0.332	states/eV/atom
energy	-4.7565	eV/atom
distance to the lowest polymorph of the same formula	8.7	kJ/mol of formula units

***

[6]
## YSc2Cd (PBE)

Data for an optimized crystal structure of YSc2Cd.

Cell and atoms, written as CIF:
```
data_YSc2Cd
_cell_length_a 3.409
_cell_length_b 3.409
_cell_length_c 8.733
_cell_angle_alpha 90.00
_cell_angle_beta 90.00
_cell_angle_gamma 90.00
_symmetry_space_group_name_H-M 'P 1'
_symmetry_Int_Tables_number 1
loop_
_symmetry_equiv_pos_as_xyz
'x,y,z'
loop_
_atom_site_label
_atom_site_type_symbol
_atom_site_fract_x
_atom_site_fract_y
_atom_site_fract_z
Cd1 Cd 0.500 0.500 0.750
Sc1 Sc 0.000 0.000 0.972
Sc2 Sc 0.000 0.000 0.528
Y1 Y 0.500 0.500 0.250
```

Computed properties:
DFT formation energy	-0.114	eV/atom
density	4765	kg/m3
Fermi-level density of states	1.303	states/eV/atom
energy	-5.1250	eV/atom